[1]
A plane-wave DFT calculation with PBE was carried out for a relaxed structure of La2Ho2CBr5.

a = 18.131 Å, b = 3.862 Å, c = 8.252 Å
α = 90.00°, β = 103.89°, γ = 90.00°
Space group C2/m (No. 12)
Inequivalent atoms, fractional coordinates:
La 0.147 0.000 0.079 x4
Ho 0.000 0.500 0.198 x4
C 0.000 0.000 0.000 x2
Br 0.000 0.000 0.500 x2
Br 0.158 0.500 0.361 x4
Br 0.163 0.500 0.804 x4

## Properties
total energy	-102.1	eV/cell
total moment	0.2	μB/f.u.
theoretical density	6.03	g/cm3

[2]
A plane-wave DFT calculation with PBE was carried out for a relaxed structure of CsNaTcIr.

a = 7.103 Å, b = 7.103 Å, c = 7.103 Å
α = 90.00°, β = 90.00°, γ = 90.00°
Space group F-43m (No. 216)
Inequivalent atoms, fractional coordinates:
Cs 0.000 0.000 0.000 x4
Na 0.000 0.000 0.500 x4
Tc 0.250 0.250 0.750 x4
Ir 0.250 0.250 0.250 x4

## Properties
total energy	-56.8	eV/cell
total moment	3.7	μB/f.u.
theoretical density	8.27	g/cm3

[3]
A plane-wave DFT calculation with PBE was carried out for a relaxed structure of YTaGe.

a = 6.837 Å, b = 6.837 Å, c = 6.837 Å
α = 90.00°, β = 90.00°, γ = 90.00°
Space group F-43m (No. 216)
Inequivalent atoms, fractional coordinates:
Y 0.000 0.000 0.000 x4
Ta 0.250 0.250 0.250 x4
Ge 0.250 0.250 0.750 x4

## Properties
total energy	-79.0	eV/cell
total moment	3.2	μB/f.u.
theoretical density	7.12	g/cm3

[4]
A plane-wave DFT calculation with PBE was carried out for a relaxed structure of YTm2WC3.

a = 12.293 Å, b = 3.306 Å, c = 5.861 Å
α = 90.00°, β = 112.92°, γ = 90.00°
Space group Cm (No. 8)
Inequivalent atoms, fractional coordinates:
Y 0.000 0.000 0.000 x2
Tm 0.023 0.500 0.495 x2
Tm 0.262 0.000 0.541 x2
W 0.236 0.500 0.022 x2
C 0.135 0.000 0.771 x2
C 0.153 0.500 0.262 x2
C 0.354 0.000 0.045 x2

## Properties
total energy	-115.5	eV/cell
total moment	0.0	μB/f.u.
theoretical density	9.79	g/cm3

[5]
A plane-wave DFT calculation with PBE was carried out for a relaxed structure of Na2MgTcS4.

a = 6.360 Å, b = 6.360 Å, c = 9.879 Å
α = 90.00°, β = 90.00°, γ = 90.00°
Space group I-4 (No. 82)
Inequivalent atoms, fractional coordinates:
Na 0.000 0.000 0.000 x2
Na 0.000 0.500 0.250 x2
Mg 0.000 0.500 0.750 x2
Tc 0.000 0.000 0.500 x2
S 0.192 0.231 0.622 x8

## Properties
total energy	-74.4	eV/cell
total moment	1.0	μB/f.u.
theoretical density	2.46	g/cm3

[6]
A plane-wave DFT calculation with PBE was carried out for a relaxed structure of Gd3Mg2Ga2HgPd.

a = 4.367 Å, b = 12.663 Å, c = 7.386 Å
α = 90.00°, β = 90.00°, γ = 90.00°
Space group Amm2 (No. 38)
Inequivalent atoms, fractional coordinates:
Gd 0.000 0.000 0.000 x2
Gd 0.000 0.204 0.626 x4
Mg 0.500 0.118 0.302 x4
Ga 0.500 0.170 0.924 x4
Hg 0.500 0.000 0.669 x2
Pd 0.000 0.000 0.402 x2

## Properties
total energy	-67.9	eV/cell
total moment	0.0	μB/f.u.
theoretical density	7.86	g/cm3

[7]
A plane-wave DFT calculation with PBE was carried out for a relaxed structure of TmAuNO.

a = 3.898 Å, b = 3.898 Å, c = 7.396 Å
α = 90.00°, β = 90.00°, γ = 90.00°
Space group P4/nmm (No. 129, origin choice 2)
Inequivalent atoms, fractional coordinates:
Tm 0.250 0.250 0.140 x2
Au 0.250 0.750 0.500 x2
N 0.250 0.250 0.692 x2
O 0.250 0.750 0.000 x2

## Properties
total energy	-49.3	eV/cell
total moment	1.1	μB/f.u.
theoretical density	11.70	g/cm3

[8]
A plane-wave DFT calculation with PBE was carried out for a relaxed structure of LuHfCoSn.

a = 6.799 Å, b = 6.799 Å, c = 6.799 Å
α = 90.00°, β = 90.00°, γ = 90.00°
Space group F-43m (No. 216)
Inequivalent atoms, fractional coordinates:
Lu 0.000 0.000 0.000 x4
Hf 0.250 0.250 0.250 x4
Co 0.250 0.250 0.750 x4
Sn 0.000 0.000 0.500 x4

## Properties
total energy	-100.3	eV/cell
total moment	1.6	μB/f.u.
theoretical density	11.22	g/cm3

Q: Number 2 is which compound?
A: CsNaTcIr

Copy entry 7 word for word.
A plane-wave DFT calculation with PBE was carried out for a relaxed structure of TmAuNO.

a = 3.898 Å, b = 3.898 Å, c = 7.396 Å
α = 90.00°, β = 90.00°, γ = 90.00°
Space group P4/nmm (No. 129, origin choice 2)
Inequivalent atoms, fractional coordinates:
Tm 0.250 0.250 0.140 x2
Au 0.250 0.750 0.500 x2
N 0.250 0.250 0.692 x2
O 0.250 0.750 0.000 x2

## Properties
total energy	-49.3	eV/cell
total moment	1.1	μB/f.u.
theoretical density	11.70	g/cm3

Q: Among the records above, which one has the highest total moment?
A: CsNaTcIr

Q: What is the formula in the sixth record?
A: Gd3Mg2Ga2HgPd